5
Lattice="5.8895 0.0000 0.0000 0.0000 5.8895 0.0000 0.0000 0.0000 3.8716" Properties=species:S:1:pos:R:3 comment="InSnTe2N, PBEsol geometry, DFT SCAN" formation_energy_uncorrected_mev_per_atom=638.6 energy_ha_per_atom=-1.102 sg="P4/mmm, No. 123" pbc="T T T"
In 0.0000 0.0000 0.0000
Sn 2.9448 2.9448 1.9358
Te 0.0000 2.9448 1.9358
Te 2.9448 0.0000 1.9358
N 2.9448 2.9448 0.0000

***

34
Lattice="0.0000 7.7508 7.7508 7.7508 0.0000 7.7508 7.7508 7.7508 0.0000" Properties=species:S:1:pos:R:3 comment="Sr19In8N7, PBEsol geometry, DFT SCAN" formation_energy_uncorrected_mev_per_atom=-681.1 energy_ha_per_atom=-0.841 sg="Fm-3m, No. 225" pbc="T T T"
Sr 0.0000 0.0000 0.0000
Sr 2.5588 2.5588 0.0000
Sr 5.1920 5.1920 0.0000
Sr 2.5588 0.0000 2.5588
Sr 7.7508 5.1920 2.5588
Sr 5.1920 0.0000 5.1920
Sr 7.7508 2.5588 5.1920
Sr 0.0000 2.5588 2.5588
Sr 5.1920 7.7508 2.5588
Sr 5.1920 2.5588 7.7508
Sr 7.7508 7.7508 5.1682
Sr 7.7508 5.1682 7.7508
Sr 10.3334 7.7508 7.7508
Sr 5.1682 7.7508 7.7508
Sr 7.7508 10.3334 7.7508
Sr 7.7508 7.7508 10.3334
Sr 0.0000 5.1920 5.1920
Sr 2.5588 7.7508 5.1920
Sr 2.5588 5.1920 7.7508
In 4.9837 2.7670 2.7670
In 2.7670 4.9837 2.7670
In 2.7670 2.7670 4.9837
In 4.9837 4.9837 4.9837
In 10.5178 10.5178 10.5178
In 12.7345 12.7345 10.5178
In 12.7345 10.5178 12.7345
In 10.5178 12.7345 12.7345
N 7.7508 7.7508 2.6928
N 7.7508 2.6928 7.7508
N 12.8088 7.7508 7.7508
N 7.7508 7.7508 7.7508
N 2.6928 7.7508 7.7508
N 7.7508 12.8088 7.7508
N 7.7508 7.7508 12.8088

***

14
Lattice="-2.5938 2.5938 15.1621 2.5938 -2.5938 15.1621 2.5938 2.5938 -15.1621" Properties=species:S:1:pos:R:3 comment="Sr4In2N, PBEsol geometry, DFT SCAN" formation_energy_uncorrected_mev_per_atom=-660.4 energy_ha_per_atom=-0.891 sg="I4_1/amd, No. 141" pbc="T T T"
Sr 2.5938 1.2969 -3.7964
Sr 2.5938 1.2969 1.2928
Sr 0.0000 1.2969 3.7847
Sr 2.5938 1.2969 6.2883
Sr 0.0000 1.2969 8.8739
Sr 2.5938 1.2969 11.3775
Sr 0.0000 1.2969 13.8693
Sr 0.0000 1.2969 18.9585
In 2.5938 -1.2969 8.6172
In 2.5938 -1.2969 14.1261
In 0.0000 3.8906 1.0361
In 0.0000 3.8906 6.5450
N 2.5938 1.2969 3.7905
N 0.0000 1.2969 11.3716

***

5
Lattice="4.4549 0.0000 0.0000 0.0000 4.4549 0.0000 0.0000 0.0000 5.7875" Properties=species:S:1:pos:R:3 comment="SrInTeN2, PBEsol geometry, DFT SCAN" formation_energy_uncorrected_mev_per_atom=456.4 relative_energy_mev_per_atom=0.0 energy_ha_per_atom=-0.803 sg="P4/mmm, No. 123" pbc="T T T"
Sr 0.0000 0.0000 0.0000
In 2.2275 2.2275 2.8938
Te 2.2275 2.2275 0.0000
N 0.0000 2.2275 2.8938
N 2.2275 0.0000 2.8938

***

What is the formula in the first record?
InSnTe2N